# BiSN2O

BiSN2O at its PBEsol-relaxed geometry (SCAN, Alexandria via LeMat-Bulk).

Properties
Raw formation energy: 1847 meV per atom
Uncorrected energy: -20.76 eV/atom
Magnetic moment: 1.38 μB per formula unit

```
5
Lattice="4.338 0.000 0.000 0.000 4.338 0.000 0.000 0.000 4.048" Properties=species:S:1:pos:R:3 pbc="T T T"
Bi 0.000 0.000 0.000
S 2.169 2.169 2.024
N 0.000 2.169 0.000
N 2.169 0.000 0.000
O 0.000 0.000 2.024
```

---

# ReRh

ReRh at its PBEsol-relaxed geometry (SCAN, Alexandria via LeMat-Bulk).

Properties
Uncorrected energy: -52.59 eV/atom
Formation energy: -0.151 eV/atom
Polymorph energy (0 for the lowest one): 6.0 kJ/mol of atoms
Magnetic moment: 0.00 μB per formula unit

```
6
Lattice="4.948 -1.349 0.000 4.948 1.349 0.000 -1.573 0.000 6.256" Properties=species:S:1:pos:R:3 pbc="T T T"
Re 0.000 0.000 0.000
Re -0.380 0.000 3.854
Re 6.132 0.000 2.082
Rh 2.300 0.000 4.176
Rh 3.458 0.000 1.765
Rh 5.646 0.000 5.904
```

---

# KRhWS2

KRhWS2 at its PBEsol-relaxed geometry (SCAN, Alexandria via LeMat-Bulk).

Properties
Raw formation energy: -16 meV per atom
Uncorrected energy: -26.22 eV/atom
Magnetic moment: 0.00 μB per formula unit

```
5
Lattice="4.690 0.000 0.000 0.000 4.690 0.000 0.000 0.000 4.819" Properties=species:S:1:pos:R:3 pbc="T T T"
K 0.000 0.000 0.000
Rh 2.345 2.345 0.000
W 2.345 2.345 2.410
S 0.000 2.345 2.410
S 2.345 0.000 2.410
```